[1]
Material: ReSeCl2
Method: DFT, PBEsol
State: relaxed Values from VASP.

```
&SYSTEM
  ibrav = 0, nat = 4, ntyp = 3
/
ATOMIC_SPECIES
Re 186.21 Re.upf
Se 78.96 Se.upf
Cl 35.45 Cl.upf
CELL_PARAMETERS angstrom
1.616 0.933 8.117
-1.616 0.933 8.117
0.000 -1.866 8.117
ATOMIC_POSITIONS crystal
Re 0.000 0.000 0.000
Se 0.734 0.734 0.734
Cl 0.263 0.263 0.263
Cl 0.484 0.484 0.484
```

Summary:
Polymorph energy (0 for the lowest one) (kJ/mol of atoms): 0.0
DOS(E_F) (states/eV per atom): 0.71
V (Å³/atom): 18.35
VASP energy (eV/atom): -5.2950

=====

[2]
Material: Mg2AlSb
Method: DFT, PBEsol
State: relaxed Values from VASP.

```
&SYSTEM
  ibrav = 0, nat = 4, ntyp = 3
/
ATOMIC_SPECIES
Mg 24.30 Mg.upf
Al 26.98 Al.upf
Sb 121.76 Sb.upf
CELL_PARAMETERS angstrom
4.746 -1.673 0.000
4.746 1.673 0.000
-1.186 0.000 5.474
ATOMIC_POSITIONS crystal
Mg 0.246 0.246 0.230
Mg 0.754 0.754 0.770
Al 0.500 0.500 0.000
Sb 0.000 0.000 0.500
```

Summary:
Polymorph energy (0 for the lowest one) (kJ/mol of atoms): 2.4
DOS(E_F) (states/eV per atom): 0.30
V (Å³/atom): 21.73
VASP energy (eV/atom): -3.0671

=====

[3]
Material: Na2YCuP
Method: DFT, PBEsol
State: relaxed Values from VASP.

```
&SYSTEM
  ibrav = 0, nat = 5, ntyp = 4
/
ATOMIC_SPECIES
Na 22.99 Na.upf
Y 88.91 Y.upf
Cu 63.55 Cu.upf
P 30.97 P.upf
CELL_PARAMETERS angstrom
4.677 0.000 0.000
0.000 4.677 0.000
0.000 0.000 5.463
ATOMIC_POSITIONS crystal
Na 0.000 0.500 0.000
Na 0.500 0.000 0.000
Y 0.000 0.000 0.500
Cu 0.000 0.000 0.000
P 0.500 0.500 0.500
```

Summary:
DOS(E_F) (states/eV per atom): 0.39
V (Å³/atom): 23.90
E_form (eV per atom): 0.286
VASP energy (eV/atom): -3.6637

=====

[4]
Material: YAgPt2
Method: DFT, PBEsol
State: relaxed Values from VASP.

```
&SYSTEM
  ibrav = 0, nat = 4, ntyp = 3
/
ATOMIC_SPECIES
Y 88.91 Y.upf
Ag 107.87 Ag.upf
Pt 195.08 Pt.upf
CELL_PARAMETERS angstrom
3.511 0.000 0.000
0.000 3.511 0.000
0.000 0.000 5.804
ATOMIC_POSITIONS crystal
Y 0.000 0.000 0.000
Ag 0.000 0.000 0.500
Pt 0.500 0.500 0.259
Pt 0.500 0.500 0.741
```

Summary:
DOS(E_F) (states/eV per atom): 0.38
V (Å³/atom): 17.89
E_form (eV per atom): -0.684
VASP energy (eV/atom): -6.6996

=====

[5]
Material: CeSe
Method: DFT, PBEsol
State: relaxed Values from VASP.

```
&SYSTEM
  ibrav = 0, nat = 2, ntyp = 2
/
ATOMIC_SPECIES
Ce 140.12 Ce.upf
Se 78.96 Se.upf
CELL_PARAMETERS angstrom
0.000 2.915 2.915
2.915 0.000 2.915
2.915 2.915 0.000
ATOMIC_POSITIONS crystal
Ce 0.000 0.000 0.000
Se 0.500 0.500 0.500
```

Summary:
DOS(E_F) (states/eV per atom): 2.40
V (Å³/atom): 24.78
VASP energy (eV/atom): -7.0238

=====

[6]
Material: MnBrO2
Method: DFT, PBEsol
State: relaxed Values from VASP.

```
&SYSTEM
  ibrav = 0, nat = 4, ntyp = 3
/
ATOMIC_SPECIES
Mn 54.94 Mn.upf
Br 79.90 Br.upf
O 16.00 O.upf
CELL_PARAMETERS angstrom
1.608 0.928 5.926
-1.608 0.928 5.926
0.000 -1.857 5.926
ATOMIC_POSITIONS crystal
Mn 0.000 0.000 0.000
Br 0.500 0.500 0.500
O 0.385 0.385 0.385
O 0.615 0.615 0.615
```

Summary:
DOS(E_F) (states/eV per atom): 0.34
V (Å³/atom): 13.27
VASP energy (eV/atom): -6.3374

=====

[7]
Material: Er2Hf2O7
Method: DFT, PBEsol
State: relaxed Values from VASP.

```
&SYSTEM
  ibrav = 0, nat = 22, ntyp = 3
/
ATOMIC_SPECIES
Er 167.26 Er.upf
Hf 178.49 Hf.upf
O 16.00 O.upf
CELL_PARAMETERS angstrom
0.000 5.162 5.162
5.162 0.000 5.162
5.162 5.162 0.000
ATOMIC_POSITIONS crystal
Er 0.000 0.000 0.000
Er 0.000 0.000 0.500
Er 0.000 0.500 0.000
Er 0.500 0.000 0.000
Hf 0.000 0.500 0.500
Hf 0.500 0.000 0.500
Hf 0.500 0.500 0.000
Hf 0.500 0.500 0.500
O 0.125 0.125 0.125
O 0.159 0.159 0.591
O 0.159 0.591 0.159
O 0.159 0.591 0.591
O 0.409 0.409 0.841
O 0.409 0.841 0.409
O 0.409 0.841 0.841
O 0.591 0.159 0.159
O 0.591 0.159 0.591
O 0.591 0.591 0.159
O 0.841 0.409 0.409
O 0.841 0.409 0.841
O 0.841 0.841 0.409
O 0.875 0.875 0.875
```

Summary:
DOS(E_F) (states/eV per atom): 0.00
V (Å³/atom): 12.51
VASP energy (eV/atom): -9.7593

=====

[8]
Material: Zr2SbSeF
Method: DFT, PBEsol
State: relaxed Values from VASP.

```
&SYSTEM
  ibrav = 0, nat = 5, ntyp = 4
/
ATOMIC_SPECIES
Zr 91.22 Zr.upf
Sb 121.76 Sb.upf
Se 78.96 Se.upf
F 19.00 F.upf
CELL_PARAMETERS angstrom
4.955 0.000 0.000
0.000 4.955 0.000
0.000 0.000 5.307
ATOMIC_POSITIONS crystal
Zr 0.000 0.500 0.000
Zr 0.500 0.000 0.000
Sb 0.000 0.000 0.500
Se 0.000 0.000 0.000
F 0.500 0.500 0.500
```

Summary:
DOS(E_F) (states/eV per atom): 0.87
V (Å³/atom): 26.06
VASP energy (eV/atom): -5.5878

=====

[9]
Material: LiLa2AlPt
Method: DFT, PBEsol
State: relaxed Values from VASP.

```
&SYSTEM
  ibrav = 0, nat = 5, ntyp = 4
/
ATOMIC_SPECIES
Li 6.94 Li.upf
La 138.91 La.upf
Al 26.98 Al.upf
Pt 195.08 Pt.upf
CELL_PARAMETERS angstrom
5.529 0.000 0.000
0.000 5.529 0.000
0.000 0.000 4.647
ATOMIC_POSITIONS crystal
Li 0.000 0.000 0.000
La 0.000 0.500 0.500
La 0.500 0.000 0.500
Al 0.500 0.500 0.000
Pt 0.000 0.000 0.500
```

Summary:
DOS(E_F) (states/eV per atom): 0.85
V (Å³/atom): 28.41
E_form (eV per atom): -0.275
VASP energy (eV/atom): -5.0183

=====

[10]
Material: Co2HgBr
Method: DFT, PBEsol
State: relaxed Values from VASP.

```
&SYSTEM
  ibrav = 0, nat = 4, ntyp = 3
/
ATOMIC_SPECIES
Co 58.93 Co.upf
Hg 200.59 Hg.upf
Br 79.90 Br.upf
CELL_PARAMETERS angstrom
3.059 0.000 0.000
0.000 4.112 0.000
0.000 0.000 5.412
ATOMIC_POSITIONS crystal
Co 0.000 0.000 0.000
Co 0.500 0.000 0.500
Hg 0.000 0.500 0.500
Br 0.500 0.500 0.000
```

Summary:
Polymorph energy (0 for the lowest one) (kJ/mol of atoms): 36.4
DOS(E_F) (states/eV per atom): 2.13
V (Å³/atom): 17.02
VASP energy (eV/atom): -3.6751

=====

[11]
Material: DyTlP2Se6
Method: DFT, PBEsol
State: relaxed Values from VASP.

```
&SYSTEM
  ibrav = 0, nat = 20, ntyp = 4
/
ATOMIC_SPECIES
Dy 162.50 Dy.upf
Tl 204.38 Tl.upf
P 30.97 P.upf
Se 78.96 Se.upf
CELL_PARAMETERS angstrom
6.687 0.000 0.000
0.000 7.446 0.000
-0.139 0.000 10.067
ATOMIC_POSITIONS crystal
Dy 0.213 0.000 0.002
Dy 0.787 0.500 0.998
Tl 0.319 0.221 0.509
Tl 0.681 0.721 0.491
P 0.186 0.728 0.300
P 0.313 0.506 0.177
P 0.687 0.006 0.823
P 0.814 0.228 0.700
Se 0.069 0.304 0.173
Se 0.077 0.311 0.827
Se 0.147 0.630 0.498
Se 0.372 0.635 0.980
Se 0.403 0.943 0.269
Se 0.404 0.908 0.740
Se 0.596 0.408 0.260
Se 0.597 0.443 0.731
Se 0.628 0.135 0.020
Se 0.853 0.130 0.502
Se 0.923 0.811 0.173
Se 0.931 0.804 0.827
```

Summary:
V (Å³/atom): 25.06
VASP energy (eV/atom): -4.8466

=====

[12]
Material: Nb3GaO
Method: DFT, PBEsol
State: relaxed Values from VASP.

```
&SYSTEM
  ibrav = 0, nat = 5, ntyp = 3
/
ATOMIC_SPECIES
Nb 92.91 Nb.upf
Ga 69.72 Ga.upf
O 16.00 O.upf
CELL_PARAMETERS angstrom
4.207 0.000 0.000
0.000 4.207 0.000
0.000 0.000 4.207
ATOMIC_POSITIONS crystal
Nb 0.000 0.000 0.500
Nb 0.000 0.500 0.000
Nb 0.500 0.000 0.000
Ga 0.500 0.500 0.500
O 0.000 0.000 0.000
```

Summary:
DOS(E_F) (states/eV per atom): 0.73
V (Å³/atom): 14.89
VASP energy (eV/atom): -8.9894

=====

[13]
Material: Ba2UTiO6
Method: DFT, PBEsol
State: relaxed Values from VASP.

```
&SYSTEM
  ibrav = 0, nat = 10, ntyp = 4
/
ATOMIC_SPECIES
Ba 137.33 Ba.upf
U 238.03 U.upf
Ti 47.87 Ti.upf
O 16.00 O.upf
CELL_PARAMETERS angstrom
0.000 4.177 4.177
4.177 0.000 4.177
4.177 4.177 0.000
ATOMIC_POSITIONS crystal
Ba 0.250 0.250 0.250
Ba 0.750 0.750 0.750
U 0.000 0.000 0.000
Ti 0.500 0.500 0.500
O 0.259 0.259 0.741
O 0.259 0.741 0.259
O 0.259 0.741 0.741
O 0.741 0.259 0.259
O 0.741 0.259 0.741
O 0.741 0.741 0.259
```

Summary:
DOS(E_F) (states/eV per atom): 0.66
V (Å³/atom): 14.57
VASP energy (eV/atom): -8.7357

=====

[14]
Material: BeSbAs2
Method: DFT, PBEsol
State: relaxed Values from VASP.

```
&SYSTEM
  ibrav = 0, nat = 4, ntyp = 3
/
ATOMIC_SPECIES
Be 9.01 Be.upf
Sb 121.76 Sb.upf
As 74.92 As.upf
CELL_PARAMETERS angstrom
4.422 0.000 0.000
0.000 3.719 0.000
-1.536 0.000 4.557
ATOMIC_POSITIONS crystal
Be 0.000 0.000 0.000
Sb 0.500 0.000 0.500
As 0.229 0.500 0.811
As 0.771 0.500 0.189
```

Summary:
Polymorph energy (0 for the lowest one) (kJ/mol of atoms): 10.0
DOS(E_F) (states/eV per atom): 0.41
V (Å³/atom): 18.73
VASP energy (eV/atom): -4.5321

=====

[15]
Material: La2AlSi
Method: DFT, PBEsol
State: relaxed Values from VASP.

```
&SYSTEM
  ibrav = 0, nat = 4, ntyp = 3
/
ATOMIC_SPECIES
La 138.91 La.upf
Al 26.98 Al.upf
Si 28.09 Si.upf
CELL_PARAMETERS angstrom
3.435 -4.221 0.000
3.435 4.221 0.000
0.000 0.000 3.418
ATOMIC_POSITIONS crystal
La 0.000 0.500 0.000
La 0.500 0.000 0.000
Al 0.000 0.000 0.500
Si 0.500 0.500 0.500
```

Summary:
DOS(E_F) (states/eV per atom): 0.66
V (Å³/atom): 24.78
VASP energy (eV/atom): -5.5520

=====

[16]
Material: TcBiRh3
Method: DFT, PBEsol
State: relaxed Values from VASP.

```
&SYSTEM
  ibrav = 0, nat = 5, ntyp = 3
/
ATOMIC_SPECIES
Tc 98.00 Tc.upf
Bi 208.98 Bi.upf
Rh 102.91 Rh.upf
CELL_PARAMETERS angstrom
4.626 0.000 0.000
0.000 4.626 0.000
0.000 0.000 4.626
ATOMIC_POSITIONS crystal
Tc 0.000 0.000 0.000
Bi 0.500 0.500 0.500
Rh 0.000 0.000 0.500
Rh 0.000 0.500 0.000
Rh 0.500 0.000 0.000
```

Summary:
DOS(E_F) (states/eV per atom): 0.82
V (Å³/atom): 19.81
E_form (eV per atom): 1.010
VASP energy (eV/atom): -6.9837

=====

[17]
Material: K4CuP6H8O22
Method: DFT, PBEsol
State: relaxed Values from VASP.

```
&SYSTEM
  ibrav = 0, nat = 82, ntyp = 5
/
ATOMIC_SPECIES
K 39.10 K.upf
Cu 63.55 Cu.upf
P 30.97 P.upf
H 1.01 H.upf
O 16.00 O.upf
CELL_PARAMETERS angstrom
8.463 0.000 0.000
0.000 14.164 0.000
-1.002 0.000 8.462
ATOMIC_POSITIONS crystal
K 0.053 0.096 0.328
K 0.053 0.404 0.828
K 0.335 0.724 0.496
K 0.335 0.776 0.996
K 0.665 0.224 0.004
K 0.665 0.276 0.504
K 0.947 0.596 0.172
K 0.947 0.904 0.672
Cu 0.500 0.000 0.500
Cu 0.500 0.500 0.000
P 0.007 0.666 0.754
P 0.007 0.834 0.254
P 0.233 0.049 0.935
P 0.233 0.451 0.435
P 0.325 0.178 0.694
P 0.325 0.322 0.194
P 0.675 0.678 0.806
P 0.675 0.822 0.306
P 0.767 0.549 0.565
P 0.767 0.951 0.065
P 0.993 0.166 0.746
P 0.993 0.334 0.246
H 0.252 0.577 0.870
H 0.252 0.923 0.370
H 0.331 0.517 0.738
H 0.331 0.983 0.238
H 0.351 0.569 0.224
H 0.351 0.931 0.724
H 0.499 0.139 0.296
H 0.499 0.361 0.796
H 0.501 0.639 0.204
H 0.501 0.861 0.704
H 0.649 0.069 0.276
H 0.649 0.431 0.776
H 0.669 0.017 0.762
H 0.669 0.483 0.262
H 0.748 0.077 0.630
H 0.748 0.423 0.130
O 0.064 0.102 0.896
O 0.064 0.398 0.396
O 0.065 0.602 0.889
O 0.065 0.898 0.389
O 0.120 0.737 0.701
O 0.120 0.763 0.201
O 0.150 0.225 0.710
O 0.150 0.275 0.210
O 0.230 0.544 0.349
O 0.230 0.956 0.849
O 0.270 0.051 0.110
O 0.270 0.449 0.610
O 0.307 0.113 0.556
O 0.307 0.387 0.056
O 0.354 0.121 0.861
O 0.354 0.379 0.361
O 0.358 0.560 0.834
O 0.358 0.940 0.334
O 0.422 0.594 0.146
O 0.422 0.906 0.646
O 0.444 0.244 0.208
O 0.444 0.256 0.708
O 0.556 0.744 0.292
O 0.556 0.756 0.792
O 0.578 0.094 0.354
O 0.578 0.406 0.854
O 0.642 0.060 0.666
O 0.642 0.440 0.166
O 0.646 0.621 0.639
O 0.646 0.879 0.139
O 0.693 0.613 0.944
O 0.693 0.887 0.444
O 0.730 0.551 0.390
O 0.730 0.949 0.890
O 0.770 0.044 0.151
O 0.770 0.456 0.651
O 0.850 0.725 0.790
O 0.850 0.775 0.290
O 0.880 0.237 0.799
O 0.880 0.263 0.299
O 0.935 0.102 0.611
O 0.935 0.398 0.111
O 0.936 0.602 0.604
O 0.936 0.898 0.104
```

Summary:
V (Å³/atom): 12.37
VASP energy (eV/atom): -6.3492

=====

[18]
Material: Ba2TeBr
Method: DFT, PBEsol
State: relaxed Values from VASP.

```
&SYSTEM
  ibrav = 0, nat = 4, ntyp = 3
/
ATOMIC_SPECIES
Ba 137.33 Ba.upf
Te 127.60 Te.upf
Br 79.90 Br.upf
CELL_PARAMETERS angstrom
-2.213 2.222 7.925
2.213 -2.222 7.925
2.213 2.222 -7.925
ATOMIC_POSITIONS crystal
Ba 0.000 0.000 0.000
Ba 0.752 0.252 0.500
Te 0.592 0.592 0.000
Br 0.335 0.835 0.500
```

Summary:
Polymorph energy (0 for the lowest one) (kJ/mol of atoms): 13.5
DOS(E_F) (states/eV per atom): 0.68
V (Å³/atom): 38.97
VASP energy (eV/atom): -4.0002

=====

[19]
Material: Sr6Li23
Method: DFT, PBEsol
State: relaxed Values from VASP.

```
&SYSTEM
  ibrav = 0, nat = 29, ntyp = 2
/
ATOMIC_SPECIES
Sr 87.62 Sr.upf
Li 6.94 Li.upf
CELL_PARAMETERS angstrom
0.000 7.324 7.324
7.324 0.000 7.324
7.324 7.324 0.000
ATOMIC_POSITIONS crystal
Sr 0.205 0.205 0.795
Sr 0.205 0.795 0.205
Sr 0.205 0.795 0.795
Sr 0.795 0.205 0.205
Sr 0.795 0.205 0.795
Sr 0.795 0.795 0.205
Li 0.000 0.000 0.500
Li 0.000 0.500 0.000
Li 0.000 0.500 0.500
Li 0.137 0.621 0.621
Li 0.177 0.177 0.177
Li 0.177 0.177 0.468
Li 0.177 0.468 0.177
Li 0.379 0.379 0.379
Li 0.379 0.379 0.863
Li 0.379 0.863 0.379
Li 0.468 0.177 0.177
Li 0.500 0.000 0.000
Li 0.500 0.000 0.500
Li 0.500 0.500 0.000
Li 0.500 0.500 0.500
Li 0.532 0.823 0.823
Li 0.621 0.137 0.621
Li 0.621 0.621 0.137
Li 0.621 0.621 0.621
Li 0.823 0.532 0.823
Li 0.823 0.823 0.532
Li 0.823 0.823 0.823
Li 0.863 0.379 0.379
```

Summary:
DOS(E_F) (states/eV per atom): 0.68
V (Å³/atom): 27.09
E_form (eV per atom): -0.001
VASP energy (eV/atom): -1.9419

=====

[20]
Material: In2MoIr
Method: DFT, PBEsol
State: relaxed Values from VASP.

```
&SYSTEM
  ibrav = 0, nat = 4, ntyp = 3
/
ATOMIC_SPECIES
In 114.82 In.upf
Mo 95.94 Mo.upf
Ir 192.22 Ir.upf
CELL_PARAMETERS angstrom
1.483 0.856 9.075
-1.483 0.856 9.075
0.000 -1.712 9.075
ATOMIC_POSITIONS crystal
In 0.248 0.248 0.248
In 0.752 0.752 0.752
Mo 0.000 0.000 0.000
Ir 0.500 0.500 0.500
```

Summary:
Polymorph energy (0 for the lowest one) (kJ/mol of atoms): 3.6
DOS(E_F) (states/eV per atom): 0.65
V (Å³/atom): 17.27
E_form (eV per atom): 0.288
VASP energy (eV/atom): -6.6009

=====

[21]
Material: AlCr4W
Method: DFT, PBEsol
State: relaxed Values from VASP.

```
&SYSTEM
  ibrav = 0, nat = 6, ntyp = 3
/
ATOMIC_SPECIES
Al 26.98 Al.upf
Cr 52.00 Cr.upf
W 183.84 W.upf
CELL_PARAMETERS angstrom
0.000 3.343 3.343
3.343 0.000 3.343
3.343 3.343 0.000
ATOMIC_POSITIONS crystal
Al 0.000 0.000 0.000
Cr 0.375 0.375 0.375
Cr 0.375 0.375 0.876
Cr 0.375 0.876 0.375
Cr 0.876 0.375 0.375
W 0.750 0.750 0.750
```

Summary:
DOS(E_F) (states/eV per atom): 0.59
V (Å³/atom): 12.46
E_form (eV per atom): -0.050
VASP energy (eV/atom): -9.8614

=====

[22]
Material: MgCdAg2
Method: DFT, PBEsol
State: relaxed Values from VASP.

```
&SYSTEM
  ibrav = 0, nat = 4, ntyp = 3
/
ATOMIC_SPECIES
Mg 24.30 Mg.upf
Cd 112.41 Cd.upf
Ag 107.87 Ag.upf
CELL_PARAMETERS angstrom
5.037 -1.622 0.000
5.037 1.622 0.000
-1.639 0.000 4.411
ATOMIC_POSITIONS crystal
Mg 0.000 0.000 0.000
Cd 0.765 0.765 0.315
Ag 0.252 0.252 0.806
Ag 0.512 0.512 0.509
```

Summary:
DOS(E_F) (states/eV per atom): 0.30
V (Å³/atom): 18.02
E_form (eV per atom): -0.150
VASP energy (eV/atom): -2.5346